# BaCdPtO3, relaxed, DFT PBE-GGA
# total magnetization = 0.00 μB per cell
# total energy = -5.067 eV per atom
# calculated density = 8.31 g cm⁻³
data_BaCdPtO3
_space_group_name_H-M_alt 'P 1'
_space_group_IT_number 1
_cell_length_a 7.114
_cell_length_b 7.114
_cell_length_c 7.114
_cell_angle_alpha 149.75
_cell_angle_beta 146.97
_cell_angle_gamma 45.40
loop_
_space_group_symop_operation_xyz
'x,y,z'
loop_
_atom_site_label
_atom_site_fract_x
_atom_site_fract_y
_atom_site_fract_z
_atom_site_occupancy
Ba1 0.004 0.504 0.500 1
Cd1 0.705 0.205 0.500 1
O1 0.153 0.153 0.000 1
O2 0.812 0.812 0.000 1
O3 0.489 0.989 0.500 1
Pt1 0.337 0.837 0.500 1

---

# Ba2Cd2SeSO2, relaxed, DFT PBE-GGA
# total energy = -4.548 eV per atom
# calculated density = 5.31 g cm⁻³
data_Ba2Cd2SeSO2
_space_group_name_H-M_alt 'P 1'
_space_group_IT_number 1
_cell_length_a 4.264
_cell_length_b 4.264
_cell_length_c 12.747
_cell_angle_alpha 90.00
_cell_angle_beta 90.00
_cell_angle_gamma 120.00
loop_
_space_group_symop_operation_xyz
'x,y,z'
loop_
_atom_site_label
_atom_site_fract_x
_atom_site_fract_y
_atom_site_fract_z
_atom_site_occupancy
Ba1 0.000 0.000 0.280 1
Ba2 0.333 0.667 0.767 1
Cd1 0.667 0.333 0.506 1
Cd2 0.667 0.333 0.997 1
O1 0.667 0.333 0.338 1
O2 0.667 0.333 0.829 1
S1 0.000 0.000 0.577 1
Se1 0.333 0.667 0.083 1

---

# BaSrCd2S2O2, relaxed, DFT PBE-GGA
# total energy = -4.614 eV per atom
# calculated density = 4.96 g cm⁻³
data_BaSrCd2S2O2
_space_group_name_H-M_alt 'P 1'
_space_group_IT_number 1
_cell_length_a 4.110
_cell_length_b 4.110
_cell_length_c 12.487
_cell_angle_alpha 90.00
_cell_angle_beta 90.00
_cell_angle_gamma 120.00
loop_
_space_group_symop_operation_xyz
'x,y,z'
loop_
_atom_site_label
_atom_site_fract_x
_atom_site_fract_y
_atom_site_fract_z
_atom_site_occupancy
Ba1 0.000 0.000 0.767 1
Cd1 0.667 0.333 0.012 1
Cd2 0.667 0.333 0.494 1
O1 0.667 0.333 0.323 1
O2 0.667 0.333 0.840 1
S1 0.000 0.000 0.094 1
S2 0.333 0.667 0.576 1
Sr1 0.333 0.667 0.269 1

---

# Ba2Cd2Sb2O, relaxed, DFT PBE-GGA
# total energy = -3.789 eV per atom
# calculated density = 6.08 g cm⁻³
data_Ba2Cd2Sb2O
_space_group_name_H-M_alt 'P 1'
_space_group_IT_number 1
_cell_length_a 4.772
_cell_length_b 4.772
_cell_length_c 21.014
_cell_angle_alpha 90.00
_cell_angle_beta 90.00
_cell_angle_gamma 120.00
loop_
_space_group_symop_operation_xyz
'x,y,z'
loop_
_atom_site_label
_atom_site_fract_x
_atom_site_fract_y
_atom_site_fract_z
_atom_site_occupancy
Ba1 0.000 0.000 0.000 1
Ba2 0.000 0.000 0.250 1
Ba3 0.000 0.000 0.500 1
Ba4 0.000 0.000 0.750 1
Cd1 0.667 0.333 0.141 1
Cd2 0.667 0.333 0.359 1
Cd3 0.333 0.667 0.641 1
Cd4 0.333 0.667 0.859 1
O1 0.667 0.333 0.250 1
O2 0.333 0.667 0.750 1
Sb1 0.333 0.667 0.105 1
Sb2 0.333 0.667 0.395 1
Sb3 0.667 0.333 0.605 1
Sb4 0.667 0.333 0.895 1

---

# BaCdSeO, relaxed, DFT PBE-GGA
# total energy = -4.332 eV per atom
# calculated density = 5.85 g cm⁻³
data_BaCdSeO
_space_group_name_H-M_alt 'P 1'
_space_group_IT_number 1
_cell_length_a 7.219
_cell_length_b 7.176
_cell_length_c 7.555
_cell_angle_alpha 90.00
_cell_angle_beta 90.00
_cell_angle_gamma 90.00
loop_
_space_group_symop_operation_xyz
'x,y,z'
loop_
_atom_site_label
_atom_site_fract_x
_atom_site_fract_y
_atom_site_fract_z
_atom_site_occupancy
Ba1 0.344 0.097 0.075 1
Ba2 0.656 0.597 0.425 1
Ba3 0.156 0.903 0.575 1
Ba4 0.844 0.403 0.925 1
Cd1 0.257 0.620 0.165 1
Cd2 0.743 0.120 0.335 1
Cd3 0.243 0.380 0.665 1
Cd4 0.757 0.880 0.835 1
O1 0.606 0.327 0.179 1
O2 0.394 0.827 0.321 1
O3 0.894 0.673 0.679 1
O4 0.106 0.173 0.821 1
Se1 0.908 0.851 0.153 1
Se2 0.092 0.351 0.347 1
Se3 0.592 0.149 0.653 1
Se4 0.408 0.649 0.847 1

---

# BaCdSeO, relaxed, DFT PBE-GGA
# total energy = -4.375 eV per atom
# calculated density = 5.82 g cm⁻³
data_BaCdSeO
_space_group_name_H-M_alt 'P 1'
_space_group_IT_number 1
_cell_length_a 7.622
_cell_length_b 6.823
_cell_length_c 7.559
_cell_angle_alpha 90.00
_cell_angle_beta 90.00
_cell_angle_gamma 90.00
loop_
_space_group_symop_operation_xyz
'x,y,z'
loop_
_atom_site_label
_atom_site_fract_x
_atom_site_fract_y
_atom_site_fract_z
_atom_site_occupancy
Ba1 0.668 0.918 0.021 1
Ba2 0.332 0.418 0.479 1
Ba3 0.832 0.082 0.521 1
Ba4 0.168 0.582 0.979 1
Cd1 0.643 0.431 0.164 1
Cd2 0.357 0.931 0.336 1
Cd3 0.857 0.569 0.664 1
Cd4 0.143 0.069 0.836 1
O1 0.422 0.658 0.194 1
O2 0.578 0.158 0.306 1
O3 0.078 0.342 0.694 1
O4 0.922 0.842 0.806 1
Se1 0.107 0.138 0.178 1
Se2 0.893 0.638 0.322 1
Se3 0.393 0.862 0.678 1
Se4 0.607 0.362 0.822 1

---

# BaCdSeO, relaxed, DFT PBE-GGA
# total energy = -4.136 eV per atom
# calculated density = 6.15 g cm⁻³
data_BaCdSeO
_space_group_name_H-M_alt 'P 1'
_space_group_IT_number 1
_cell_length_a 4.108
_cell_length_b 4.108
_cell_length_c 11.024
_cell_angle_alpha 90.00
_cell_angle_beta 90.00
_cell_angle_gamma 90.00
loop_
_space_group_symop_operation_xyz
'x,y,z'
loop_
_atom_site_label
_atom_site_fract_x
_atom_site_fract_y
_atom_site_fract_z
_atom_site_occupancy
Ba1 0.750 0.750 0.372 1
Ba2 0.250 0.250 0.628 1
Cd1 0.750 0.250 0.000 1
Cd2 0.250 0.750 0.000 1
O1 0.250 0.250 0.405 1
O2 0.750 0.750 0.595 1
Se1 0.250 0.250 0.176 1
Se2 0.750 0.750 0.824 1

---

# BaCdSeO, relaxed, DFT PBE-GGA
# total energy = -4.356 eV per atom
# calculated density = 5.96 g cm⁻³
data_BaCdSeO
_space_group_name_H-M_alt 'P 1'
_space_group_IT_number 1
_cell_length_a 8.554
_cell_length_b 13.903
_cell_length_c 6.461
_cell_angle_alpha 90.00
_cell_angle_beta 90.00
_cell_angle_gamma 90.00
loop_
_space_group_symop_operation_xyz
'x,y,z'
loop_
_atom_site_label
_atom_site_fract_x
_atom_site_fract_y
_atom_site_fract_z
_atom_site_occupancy
Ba1 0.371 0.350 0.236 1
Ba2 0.129 0.850 0.236 1
Ba3 0.871 0.350 0.264 1
Ba4 0.629 0.850 0.264 1
Ba5 0.371 0.150 0.736 1
Ba6 0.129 0.650 0.736 1
Ba7 0.871 0.150 0.764 1
Ba8 0.629 0.650 0.764 1
Cd1 0.126 0.143 0.240 1
Cd2 0.374 0.643 0.240 1
Cd3 0.626 0.143 0.260 1
Cd4 0.874 0.643 0.260 1
Cd5 0.126 0.357 0.740 1
Cd6 0.374 0.857 0.740 1
Cd7 0.626 0.357 0.760 1
Cd8 0.874 0.857 0.760 1
O1 0.641 0.264 0.040 1
O2 0.859 0.764 0.040 1
O3 0.141 0.264 0.460 1
O4 0.359 0.764 0.460 1
O5 0.641 0.236 0.540 1
O6 0.859 0.736 0.540 1
O7 0.141 0.236 0.960 1
O8 0.359 0.736 0.960 1
Se1 0.377 0.038 0.242 1
Se2 0.123 0.538 0.242 1
Se3 0.877 0.038 0.258 1
Se4 0.623 0.538 0.258 1
Se5 0.377 0.462 0.742 1
Se6 0.123 0.962 0.742 1
Se7 0.877 0.462 0.758 1
Se8 0.623 0.962 0.758 1